No. 1
VASP calculation (PBE) on LaTb5YTh2 after structural relaxation.

The space group is I4/mcm (No. 140) and the conventional cell measures 8.935, 8.935 and 15.333 Å, with angles of 90.00, 90.00 and 90.00 degrees. The inequivalent atoms are La at (0.000, 0.000, 0.250), Tb at (0.000, 0.000, 0.000), Tb at (0.208, 0.292, 0.136), Y at (0.000, 0.500, 0.250) and Th at (0.119, 0.381, 0.500).

The value obtained for the volume is 34.00 A^3/atom. The magnetization is 0.00 μB per cell. As for the formation energy from the elements: 0.32 eV per atom.

---

No. 2
VASP calculation (PBE) on LaTb2YTh after structural relaxation.

The space group is P2/c (No. 13) and the conventional cell measures 8.620, 6.471 and 6.392 Å, with angles of 90.00, 99.98 and 90.00 degrees. The inequivalent atoms are La at (0.000, 0.000, 0.000), Tb at (0.315, 0.320, 0.196), Y at (0.500, 0.171, 0.750) and Th at (0.000, 0.452, 0.750).

The value obtained for the volume is 35.11 A^3/atom. The magnetization is 0.00 μB per cell. As for the formation energy from the elements: 0.31 eV per atom.

---

No. 3
VASP calculation (PBE) on La2TbY6Th3 after structural relaxation.

The space group is C2/m (No. 12) and the conventional cell measures 6.253, 10.832 and 11.827 Å, with angles of 90.00, 100.18 and 90.00 degrees. The inequivalent atoms are La at (0.000, 0.166, 0.000), Tb at (0.000, 0.500, 0.000), Y at (0.247, 0.500, 0.742), Y at (0.248, 0.166, 0.743), Th at (0.000, 0.000, 0.500) and Th at (0.000, 0.333, 0.500).

The value obtained for the volume is 32.85 A^3/atom. The magnetization is 0.00 μB per cell. As for the formation energy from the elements: 0.02 eV per atom.

---

No. 4
VASP calculation (PBE) on LaTb3Y6Th2 after structural relaxation.

The space group is C2/m (No. 12) and the conventional cell measures 6.231, 10.786 and 11.788 Å, with angles of 90.00, 100.17 and 90.00 degrees. The inequivalent atoms are La at (0.000, 0.000, 0.000), Tb at (0.000, 0.167, 0.500), Tb at (0.000, 0.500, 0.500), Y at (0.245, 0.500, 0.249), Y at (0.247, 0.331, 0.752) and Th at (0.000, 0.333, 0.000).

The value obtained for the volume is 32.49 A^3/atom. The magnetization is 0.00 μB per cell. As for the formation energy from the elements: 0.03 eV per atom.